Record 1
The following is a PBE-GGA calculation of crystalline LiIr4Br at its relaxed geometry, from Alexandria.

Output
The formation energy from raw total energies comes out at 771 meV/atom. As for the total energy: -5.734 eV/atom. The value obtained for the density of states at the Fermi level is 11.4 states/eV/f.u. Its symmetry is F-43m (216).

abc: 5.269 5.269 5.269
angles: 60.00 60.00 60.00
Atoms (fractional coordinates):
Li (0.000, 0.000, 0.000)
Ir (0.374, 0.374, 0.374)
Ir (0.374, 0.374, 0.878)
Ir (0.374, 0.878, 0.374)
Ir (0.878, 0.374, 0.374)
Br (0.750, 0.750, 0.750)

=====

Record 2
The following is a PBE-GGA calculation of crystalline GaPd8S2 at its relaxed geometry, from Alexandria.

Output
The formation energy from raw total energies comes out at -215 meV/atom. As for the total energy: -5.017 eV/atom. The value obtained for the density of states at the Fermi level is 7.6 states/eV/f.u. Its symmetry is C2/m (12).

abc: 7.030 7.030 4.867
angles: 98.59 98.59 47.61
Atoms (fractional coordinates):
Ga (0.000, 0.000, 0.000)
Pd (0.165, 0.653, 0.308)
Pd (0.207, 0.207, 0.160)
Pd (0.347, 0.835, 0.692)
Pd (0.409, 0.409, 0.806)
Pd (0.591, 0.591, 0.194)
Pd (0.653, 0.165, 0.308)
Pd (0.793, 0.793, 0.840)
Pd (0.835, 0.347, 0.692)
S (0.227, 0.227, 0.661)
S (0.773, 0.773, 0.339)

=====

Record 3
The following is a PBE-GGA calculation of crystalline TcBi3P at its relaxed geometry, from Alexandria.

Output
Its energy above the most stable polymorph in this dataset is 425 meV per atom. As for the total energy: -4.302 eV/atom. The value obtained for the density of states at the Fermi level is 2.8 states/eV/f.u. Its symmetry is Pm-3m (221). The value obtained for the formation energy is 1.1817 eV per atom.

abc: 5.338 5.338 5.338
angles: 90.00 90.00 90.00
Atoms (fractional coordinates):
Tc (0.000, 0.000, 0.000)
Bi (0.000, 0.500, 0.500)
Bi (0.500, 0.000, 0.500)
Bi (0.500, 0.500, 0.000)
P (0.500, 0.500, 0.500)

=====

Record 4
The following is a PBE-GGA calculation of crystalline Sc6Ni5Sn at its relaxed geometry, from Alexandria.

Output
As for the total energy: -6.391 eV/atom. The value obtained for the density of states at the Fermi level is 9.6 states/eV/f.u. Its symmetry is P2/m (10). The value obtained for the formation energy is -0.4824 eV per atom.

abc: 4.606 6.447 7.257
angles: 90.00 107.98 90.00
Atoms (fractional coordinates):
Sc (0.000, 0.230, 0.000)
Sc (0.000, 0.770, 0.000)
Sc (0.323, 0.243, 0.650)
Sc (0.323, 0.757, 0.650)
Sc (0.677, 0.243, 0.350)
Sc (0.677, 0.757, 0.350)
Ni (0.163, 0.500, 0.316)
Ni (0.170, 0.000, 0.329)
Ni (0.500, 0.000, 0.000)
Ni (0.830, 0.000, 0.671)
Ni (0.837, 0.500, 0.684)
Sn (0.500, 0.500, 0.000)

=====

Record 5
The following is a PBE-GGA calculation of crystalline NdBRh4 at its relaxed geometry, from Alexandria.

Output
As for the total energy: -6.817 eV/atom. The value obtained for the density of states at the Fermi level is 6.4 states/eV/f.u. Its symmetry is P4_2/nmc (137). The value obtained for the formation energy is -0.0081 eV per atom.

abc: 5.073 5.073 8.390
angles: 90.00 90.00 90.00
Atoms (fractional coordinates):
Nd (0.250, 0.750, 0.250)
Nd (0.750, 0.250, 0.750)
B (0.250, 0.750, 0.750)
B (0.750, 0.250, 0.250)
Rh (0.004, 0.250, 0.060)
Rh (0.250, 0.004, 0.560)
Rh (0.250, 0.496, 0.560)
Rh (0.496, 0.250, 0.060)
Rh (0.504, 0.750, 0.940)
Rh (0.750, 0.504, 0.440)
Rh (0.750, 0.996, 0.440)
Rh (0.996, 0.750, 0.940)

=====

Record 6
The following is a PBE-GGA calculation of crystalline Sc6SiSb2 at its relaxed geometry, from Alexandria.

Output
The formation energy from raw total energies comes out at -261 meV/atom. As for the total energy: -6.001 eV/atom. The value obtained for the density of states at the Fermi level is 16.8 states/eV/f.u. Its symmetry is P4_2/mnm (136).

abc: 6.320 6.320 12.771
angles: 90.00 90.00 90.00
Atoms (fractional coordinates):
Sc (0.189, 0.189, 0.152)
Sc (0.189, 0.189, 0.848)
Sc (0.211, 0.211, 0.500)
Sc (0.289, 0.711, 0.000)
Sc (0.311, 0.689, 0.348)
Sc (0.311, 0.689, 0.652)
Sc (0.689, 0.311, 0.348)
Sc (0.689, 0.311, 0.652)
Sc (0.711, 0.289, 0.000)
Sc (0.789, 0.789, 0.500)
Sc (0.811, 0.811, 0.152)
Sc (0.811, 0.811, 0.848)
Si (0.000, 0.000, 0.000)
Si (0.500, 0.500, 0.500)
Sb (0.000, 0.000, 0.331)
Sb (0.000, 0.000, 0.669)
Sb (0.500, 0.500, 0.169)
Sb (0.500, 0.500, 0.831)